1.
A relaxed CdRe2Ag crystal, computed with PBE.

abc: 4.535 4.535 4.535
angles: 60.00 60.00 60.00
Fractional coordinates of all 4 atoms:
1 Cd 0.000 0.000 0.000
2 Re 0.250 0.250 0.250
3 Re 0.500 0.500 0.500
4 Ag 0.750 0.750 0.750

Values from the calculation:
E_tot, eV/cell: -25.57
Formation energy from the elements, eV per atom: 0.75

2.
A relaxed LuAsNO crystal, computed with PBE.

abc: 3.717 6.212 5.335
angles: 90.00 90.00 90.00
Fractional coordinates of all 8 atoms:
1 Lu 0.000 0.167 0.000
2 Lu 0.000 0.833 0.500
3 As 0.500 0.324 0.490
4 As 0.500 0.676 0.990
5 N 0.000 0.189 0.417
6 N 0.000 0.811 0.917
7 O 0.500 0.181 0.810
8 O 0.500 0.819 0.310

Values from the calculation:
E_tot, eV/cell: -54.32
Polymorph energy (0 for the lowest one), meV/atom: 111

3.
A relaxed Ba2AlReP6 crystal, computed with PBE.

abc: 4.710 4.710 12.472
angles: 90.00 90.00 90.00
Fractional coordinates of all 10 atoms:
1 Ba 0.000 0.000 0.241
2 Ba 0.000 0.000 0.759
3 Al 0.500 0.500 0.500
4 Re 0.500 0.500 0.000
5 P 0.000 0.000 0.000
6 P 0.000 0.000 0.500
7 P 0.000 0.500 0.414
8 P 0.000 0.500 0.586
9 P 0.500 0.000 0.414
10 P 0.500 0.000 0.586

Values from the calculation:
E_tot, eV/cell: -47.02

4.
A relaxed NiMo4AsN2 crystal, computed with PBE.

abc: 2.924 2.924 13.608
angles: 90.00 90.00 120.00
Fractional coordinates of all 8 atoms:
1 Ni 0.000 0.000 0.000
2 Mo 0.000 0.000 0.352
3 Mo 0.000 0.000 0.648
4 Mo 0.667 0.333 0.153
5 Mo 0.667 0.333 0.847
6 As 0.667 0.333 0.500
7 N 0.333 0.667 0.251
8 N 0.333 0.667 0.749

Values from the calculation:
E_tot, eV/cell: -69.83

5.
A relaxed LiHoOs crystal, computed with PBE.

abc: 4.262 4.262 4.262
angles: 60.00 60.00 60.00
Fractional coordinates of all 3 atoms:
1 Li 0.000 0.000 0.000
2 Ho 0.750 0.750 0.750
3 Os 0.250 0.250 0.250

Values from the calculation:
E_tot, eV/cell: -16.14

6.
A relaxed MgAlTcW crystal, computed with PBE.

abc: 4.425 4.425 4.425
angles: 60.00 60.00 60.00
Fractional coordinates of all 4 atoms:
1 Mg 0.000 0.000 0.000
2 Al 0.250 0.250 0.250
3 Tc 0.500 0.500 0.500
4 W 0.750 0.750 0.750

Values from the calculation:
E_tot, eV/cell: -28.87
Polymorph energy (0 for the lowest one), meV/atom: 0

7.
A relaxed TcPIrO crystal, computed with PBE.

abc: 2.821 6.344 6.522
angles: 90.00 90.00 90.00
Fractional coordinates of all 8 atoms:
1 Tc 0.000 0.190 0.000
2 Tc 0.000 0.810 0.500
3 P 0.000 0.138 0.353
4 P 0.000 0.862 0.853
5 Ir 0.500 0.185 0.630
6 Ir 0.500 0.815 0.130
7 O 0.500 0.389 0.877
8 O 0.500 0.611 0.377

Values from the calculation:
E_tot, eV/cell: -62.39
Polymorph energy (0 for the lowest one), meV/atom: 0

8.
A relaxed GaOsPd crystal, computed with PBE.

abc: 4.219 4.219 4.219
angles: 60.00 60.00 60.00
Fractional coordinates of all 3 atoms:
1 Ga 0.000 0.000 0.000
2 Os 0.250 0.250 0.250
3 Pd 0.500 0.500 0.500

Values from the calculation:
E_tot, eV/cell: -17.97
Polymorph energy (0 for the lowest one), meV/atom: 0

9.
A relaxed Cs2ReAuBr6 crystal, computed with PBE.

abc: 7.776 7.776 7.776
angles: 120.07 120.07 89.88
Fractional coordinates of all 10 atoms:
1 Cs 0.250 0.750 0.500
2 Cs 0.750 0.250 0.500
3 Re 0.000 0.000 0.000
4 Au 0.500 0.500 0.000
5 Br 0.226 0.242 0.468
6 Br 0.234 0.234 0.000
7 Br 0.242 0.774 0.015
8 Br 0.758 0.226 0.985
9 Br 0.766 0.766 0.000
10 Br 0.774 0.758 0.532

Values from the calculation:
E_tot, eV/cell: -34.56
Polymorph energy (0 for the lowest one), meV/atom: 2

10.
A relaxed Cu2Ag crystal, computed with PBE.

abc: 2.736 2.736 19.473
angles: 90.00 90.00 120.00
Fractional coordinates of all 9 atoms:
1 Cu 0.000 0.000 0.000
2 Cu 0.000 0.000 0.331
3 Cu 0.000 0.000 0.667
4 Cu 0.333 0.667 0.230
5 Cu 0.333 0.667 0.565
6 Cu 0.667 0.333 0.769
7 Ag 0.333 0.667 0.885
8 Ag 0.667 0.333 0.115
9 Ag 0.667 0.333 0.447

Values from the calculation:
E_tot, eV/cell: -29.78
Polymorph energy (0 for the lowest one), meV/atom: 65
Formation energy from the elements, eV per atom: 0.11

11.
A relaxed TbPPbO crystal, computed with PBE.

abc: 5.538 5.538 5.393
angles: 90.00 90.00 90.00
Fractional coordinates of all 8 atoms:
1 Tb 0.250 0.750 0.000
2 Tb 0.750 0.250 0.000
3 P 0.250 0.250 0.004
4 P 0.750 0.750 0.996
5 Pb 0.250 0.250 0.504
6 Pb 0.750 0.750 0.496
7 O 0.250 0.750 0.500
8 O 0.750 0.250 0.500

Values from the calculation:
E_tot, eV/cell: -46.62
Polymorph energy (0 for the lowest one), meV/atom: 266

12.
A relaxed NaCoTcAg crystal, computed with PBE.

abc: 4.365 4.365 4.365
angles: 60.00 60.00 60.00
Fractional coordinates of all 4 atoms:
1 Na 0.000 0.000 0.000
2 Co 0.500 0.500 0.500
3 Tc 0.250 0.250 0.250
4 Ag 0.750 0.750 0.750

Values from the calculation:
E_tot, eV/cell: -18.39
Polymorph energy (0 for the lowest one), meV/atom: 0

13.
A relaxed NdY2Co2B2N3 crystal, computed with PBE.

abc: 10.356 10.356 10.356
angles: 160.43 160.43 27.81
Fractional coordinates of all 10 atoms:
1 Nd 0.000 0.000 0.000
2 Y 0.374 0.374 0.000
3 Y 0.626 0.626 0.000
4 Co 0.250 0.750 0.500
5 Co 0.750 0.250 0.500
6 B 0.196 0.196 0.000
7 B 0.804 0.804 0.000
8 N 0.122 0.122 0.000
9 N 0.500 0.500 0.000
10 N 0.878 0.878 0.000

Values from the calculation:
E_tot, eV/cell: -81.49

14.
A relaxed KTbCoSe3 crystal, computed with PBE.

abc: 9.075 4.035 9.631
angles: 90.00 108.53 90.00
Fractional coordinates of all 12 atoms:
1 K 0.205 0.250 0.237
2 K 0.795 0.750 0.763
3 Tb 0.327 0.750 0.858
4 Tb 0.673 0.250 0.142
5 Co 0.075 0.250 0.591
6 Co 0.925 0.750 0.409
7 Se 0.101 0.250 0.848
8 Se 0.189 0.750 0.534
9 Se 0.459 0.750 0.168
10 Se 0.541 0.250 0.832
11 Se 0.811 0.250 0.466
12 Se 0.899 0.750 0.152

Values from the calculation:
E_tot, eV/cell: -60.65

15.
A relaxed PrGa2Au2 crystal, computed with PBE.

abc: 6.428 6.428 6.428
angles: 140.44 140.44 57.18
Fractional coordinates of all 5 atoms:
1 Pr 0.000 0.000 0.000
2 Ga 0.250 0.750 0.500
3 Ga 0.750 0.250 0.500
4 Au 0.379 0.379 0.000
5 Au 0.621 0.621 0.000

Values from the calculation:
E_tot, eV/cell: -20.47

16.
A relaxed SmScNb crystal, computed with PBE.

abc: 4.885 4.885 4.885
angles: 60.00 60.00 60.00
Fractional coordinates of all 3 atoms:
1 Sm 0.000 0.000 0.000
2 Sc 0.250 0.250 0.250
3 Nb 0.750 0.750 0.750

Values from the calculation:
E_tot, eV/cell: -17.39
Polymorph energy (0 for the lowest one), meV/atom: 406
Formation energy from the elements, eV per atom: 1.25

17.
A relaxed Ba2CdSb crystal, computed with PBE.

abc: 5.913 5.913 5.913
angles: 60.00 60.00 60.00
Fractional coordinates of all 4 atoms:
1 Ba 0.000 0.000 0.000
2 Ba 0.250 0.250 0.250
3 Cd 0.750 0.750 0.750
4 Sb 0.500 0.500 0.500

Values from the calculation:
E_tot, eV/cell: -10.00

18.
A relaxed LuBeCoSn crystal, computed with PBE.

abc: 4.571 4.571 4.571
angles: 60.00 60.00 60.00
Fractional coordinates of all 4 atoms:
1 Lu 0.000 0.000 0.000
2 Be 0.500 0.500 0.500
3 Co 0.750 0.750 0.750
4 Sn 0.250 0.250 0.250

Values from the calculation:
E_tot, eV/cell: -18.66
Polymorph energy (0 for the lowest one), meV/atom: 315

19.
A relaxed TbSnO3 crystal, computed with PBE.

abc: 5.965 5.965 5.965
angles: 119.18 88.53 122.56
Fractional coordinates of all 10 atoms:
1 Tb 0.000 0.000 0.000
2 Tb 0.500 0.000 0.500
3 Sn 0.298 0.548 0.750
4 Sn 0.702 0.452 0.250
5 O 0.071 0.821 0.250
6 O 0.349 0.000 0.849
7 O 0.349 0.500 0.349
8 O 0.651 0.000 0.151
9 O 0.651 0.500 0.651
10 O 0.929 0.179 0.750

Values from the calculation:
E_tot, eV/cell: -69.32

20.
A relaxed Cs2CoTeSe2 crystal, computed with PBE.

abc: 7.879 7.879 10.146
angles: 116.22 116.22 56.94
Fractional coordinates of all 12 atoms:
1 Cs 0.073 0.073 0.353
2 Cs 0.292 0.292 0.164
3 Cs 0.708 0.708 0.836
4 Cs 0.927 0.927 0.647
5 Co 0.403 0.403 0.853
6 Co 0.597 0.597 0.147
7 Te 0.391 0.391 0.604
8 Te 0.609 0.609 0.396
9 Se 0.220 0.220 0.769
10 Se 0.264 0.736 0.000
11 Se 0.736 0.264 0.000
12 Se 0.780 0.780 0.231

Values from the calculation:
E_tot, eV/cell: -45.21

21.
A relaxed NaZrReTe crystal, computed with PBE.

abc: 4.719 4.719 4.719
angles: 60.00 60.00 60.00
Fractional coordinates of all 4 atoms:
1 Na 0.000 0.000 0.000
2 Zr 0.750 0.750 0.750
3 Re 0.500 0.500 0.500
4 Te 0.250 0.250 0.250

Values from the calculation:
E_tot, eV/cell: -24.61
Polymorph energy (0 for the lowest one), meV/atom: 0

22.
A relaxed ErZrCo crystal, computed with PBE.

abc: 4.510 4.510 4.510
angles: 60.00 60.00 60.00
Fractional coordinates of all 3 atoms:
1 Er 0.000 0.000 0.000
2 Zr 0.750 0.750 0.750
3 Co 0.500 0.500 0.500

Values from the calculation:
E_tot, eV/cell: -18.04
Formation energy from the elements, eV per atom: 0.73

23.
A relaxed BaSmTm crystal, computed with PBE.

abc: 5.810 5.810 5.810
angles: 60.00 60.00 60.00
Fractional coordinates of all 3 atoms:
1 Ba 0.000 0.000 0.000
2 Sm 0.500 0.500 0.500
3 Tm 0.250 0.250 0.250

Values from the calculation:
E_tot, eV/cell: -8.71
Polymorph energy (0 for the lowest one), meV/atom: 0

24.
A relaxed Pu3Bi2H2 crystal, computed with PBE.

abc: 6.469 6.028 8.220
angles: 90.00 109.74 90.00
Fractional coordinates of all 14 atoms:
1 Pu 0.000 0.000 0.000
2 Pu 0.000 0.500 0.500
3 Pu 0.373 0.119 0.787
4 Pu 0.373 0.381 0.287
5 Pu 0.627 0.619 0.713
6 Pu 0.627 0.881 0.213
7 Bi 0.222 0.597 0.895
8 Bi 0.222 0.903 0.395
9 Bi 0.778 0.097 0.605
10 Bi 0.778 0.403 0.105
11 H 0.354 0.117 0.067
12 H 0.354 0.383 0.567
13 H 0.646 0.617 0.433
14 H 0.646 0.883 0.933

Values from the calculation:
E_tot, eV/cell: -121.09

25.
A relaxed YGaPd crystal, computed with PBE.

abc: 4.700 4.700 4.700
angles: 60.00 60.00 60.00
Fractional coordinates of all 3 atoms:
1 Y 0.000 0.000 0.000
2 Ga 0.750 0.750 0.750
3 Pd 0.250 0.250 0.250

Values from the calculation:
E_tot, eV/cell: -15.16

26.
A relaxed Na2LuTl crystal, computed with PBE.

abc: 5.268 5.268 5.268
angles: 60.00 60.00 60.00
Fractional coordinates of all 4 atoms:
1 Na 0.000 0.000 0.000
2 Na 0.250 0.250 0.250
3 Lu 0.750 0.750 0.750
4 Tl 0.500 0.500 0.500

Values from the calculation:
E_tot, eV/cell: -9.31

27.
A relaxed Zr2B2Au crystal, computed with PBE.

abc: 6.995 6.995 3.385
angles: 90.00 90.00 154.13
Fractional coordinates of all 5 atoms:
1 Zr 0.145 0.855 0.000
2 Zr 0.855 0.145 0.000
3 B 0.276 0.724 0.500
4 B 0.724 0.276 0.500
5 Au 0.500 0.500 0.500

Values from the calculation:
E_tot, eV/cell: -37.50